[1]
Crystalline Hg5Sb at its relaxed geometry, computed with PBE.

Cell: 4.3012 16.7138 4.4310 Å, 90.00 90.00 90.00°
Space group Cmmm (No. 65)
Inequivalent atoms, fractional coordinates:
Hg 0.0000 0.0000 0.0000 [2 per cell]
Hg 0.0000 0.1711 0.5000 [4 per cell]
Hg 0.0000 0.3384 0.0000 [4 per cell]
Sb 0.0000 0.5000 0.5000 [2 per cell]

* uncorrected formation energy: 0.111 eV per atom
* E above lowest polymorph: 61 meV/atom



[2]
Crystalline NaLi2Tc at its relaxed geometry, computed with PBE.

Cell: 6.6480 6.6480 6.6480 Å, 90.00 90.00 90.00°
Space group Fm-3m (No. 225)
Inequivalent atoms, fractional coordinates:
Na 0.0000 0.0000 0.0000 [4 per cell]
Li 0.2500 0.2500 0.2500 [8 per cell]
Tc 0.0000 0.0000 0.5000 [4 per cell]

* E above lowest polymorph: 0 meV/atom



[3]
Crystalline Pa2TlReO8 at its relaxed geometry, computed with PBE.

Cell: 5.0355 7.1976 5.0462 Å, 90.00 91.78 90.00°
Space group P2/m (No. 10)
Inequivalent atoms, fractional coordinates:
Pa 0.0000 0.2474 0.0000 [2 per cell]
Tl 0.5000 0.5000 0.5000 [1 per cell]
Re 0.5000 0.0000 0.5000 [1 per cell]
O 0.1688 0.5000 0.8372 [2 per cell]
O 0.2081 0.0000 0.7938 [2 per cell]
O 0.3024 0.1937 0.3047 [4 per cell]

* uncorrected formation energy: -2.433 eV per atom



[4]
Crystalline Ru2PbW at its relaxed geometry, computed with PBE.

Cell: 7.2573 7.2573 5.8256 Å, 90.00 90.00 90.00°
Space group I-42d (No. 122)
Inequivalent atoms, fractional coordinates:
Ru 0.1989 0.2500 0.1250 [8 per cell]
Pb 0.0000 0.0000 0.5000 [4 per cell]
W 0.0000 0.0000 0.0000 [4 per cell]

* energy: -8.02 eV per atom